1.
The following is a PBE calculation of an optimized crystal structure of ErCd2Ag, from the Alexandria database.

Cell lengths 4.9541, 5.6781, 6.3771 Å; angles 90.55, 90.00, 90.00 degrees
Fractional positions:
1 Er 0.7500 0.3801 0.7520
2 Er 0.2500 0.6199 0.2480
3 Cd 0.7500 0.8508 0.0029
4 Cd 0.2500 0.1492 0.9971
5 Cd 0.7500 0.8477 0.4978
6 Cd 0.2500 0.1523 0.5022
7 Ag 0.7500 0.2985 0.2518
8 Ag 0.2500 0.7015 0.7482

Summary:
**Energy of formation from the pure elements**: -0.222 eV per atom
**Space group**: P2_1/m, No. 11
**Calculated total energy**: -20.27 eV for the cell shown

2.
The following is a PBE calculation of an optimized crystal structure of Er4CdAg2, from the Alexandria database.

Cell lengths 5.0995, 5.0995, 8.6669 Å; angles 72.89, 72.89, 60.00 degrees
Fractional positions:
1 Cd 0.0000 0.0000 0.0000
2 Ag 0.7466 0.7466 0.7603
3 Ag 0.2534 0.2534 0.2397
4 Er 0.8704 0.8704 0.3888
5 Er 0.1296 0.1296 0.6112
6 Er 0.6178 0.6178 0.1466
7 Er 0.3822 0.3822 0.8534

Summary:
**ΔE to the lowest computed polymorph**: 0.0 kJ per mole of atoms
**Energy of formation from the pure elements**: -0.168 eV per atom
**Space group**: R-3m, No. 166
**Calculated total energy**: -26.04 eV for the cell shown

Please write out number 1 again, unchanged.
The following is a PBE calculation of an optimized crystal structure of ErCd2Ag, from the Alexandria database.

Cell lengths 4.9541, 5.6781, 6.3771 Å; angles 90.55, 90.00, 90.00 degrees
Fractional positions:
1 Er 0.7500 0.3801 0.7520
2 Er 0.2500 0.6199 0.2480
3 Cd 0.7500 0.8508 0.0029
4 Cd 0.2500 0.1492 0.9971
5 Cd 0.7500 0.8477 0.4978
6 Cd 0.2500 0.1523 0.5022
7 Ag 0.7500 0.2985 0.2518
8 Ag 0.2500 0.7015 0.7482

Summary:
**Energy of formation from the pure elements**: -0.222 eV per atom
**Space group**: P2_1/m, No. 11
**Calculated total energy**: -20.27 eV for the cell shown

Q: Number 2 is which compound?
A: Er4CdAg2